(1)
A relaxed SrBeNiPb crystal, computed with PBE.

Output
total magnetic moment: 0.0 μB per cell
E_tot: -52.3 eV per cell
symmetry: F-43m

Cell lengths 6.9419, 6.9419, 6.9419 Å; angles 90.00, 90.00, 90.00 degrees
Sites, in units of the cell vectors:
Sr 0.0000 0.0000 0.0000
Sr 0.0000 0.5000 0.5000
Sr 0.5000 0.0000 0.5000
Sr 0.5000 0.5000 0.0000
Be 0.2500 0.2500 0.2500
Be 0.2500 0.7500 0.7500
Be 0.7500 0.2500 0.7500
Be 0.7500 0.7500 0.2500
Ni 0.0000 0.0000 0.5000
Ni 0.0000 0.5000 0.0000
Ni 0.5000 0.0000 0.0000
Ni 0.5000 0.5000 0.5000
Pb 0.2500 0.2500 0.7500
Pb 0.2500 0.7500 0.2500
Pb 0.7500 0.2500 0.2500
Pb 0.7500 0.7500 0.7500

=====

(2)
A relaxed TaBeNiPb crystal, computed with PBE.

Output
total magnetic moment: 0.4 μB per cell
E_tot: -88.2 eV per cell
symmetry: F-43m

Cell lengths 6.3650, 6.3650, 6.3650 Å; angles 90.00, 90.00, 90.00 degrees
Sites, in units of the cell vectors:
Ta 0.0000 0.0000 0.0000
Ta 0.0000 0.5000 0.5000
Ta 0.5000 0.0000 0.5000
Ta 0.5000 0.5000 0.0000
Be 0.2500 0.2500 0.7500
Be 0.2500 0.7500 0.2500
Be 0.7500 0.2500 0.2500
Be 0.7500 0.7500 0.7500
Ni 0.0000 0.0000 0.5000
Ni 0.0000 0.5000 0.0000
Ni 0.5000 0.0000 0.0000
Ni 0.5000 0.5000 0.5000
Pb 0.2500 0.2500 0.2500
Pb 0.2500 0.7500 0.7500
Pb 0.7500 0.2500 0.7500
Pb 0.7500 0.7500 0.2500

=====

(3)
A relaxed TaBeNiPb crystal, computed with PBE.

Output
total magnetic moment: 0.2 μB per cell
E_tot: -90.6 eV per cell
symmetry: F-43m

Cell lengths 6.2918, 6.2918, 6.2918 Å; angles 90.00, 90.00, 90.00 degrees
Sites, in units of the cell vectors:
Ta 0.0000 0.0000 0.0000
Ta 0.0000 0.5000 0.5000
Ta 0.5000 0.0000 0.5000
Ta 0.5000 0.5000 0.0000
Be 0.2500 0.2500 0.2500
Be 0.2500 0.7500 0.7500
Be 0.7500 0.2500 0.7500
Be 0.7500 0.7500 0.2500
Ni 0.2500 0.2500 0.7500
Ni 0.2500 0.7500 0.2500
Ni 0.7500 0.2500 0.2500
Ni 0.7500 0.7500 0.7500
Pb 0.0000 0.0000 0.5000
Pb 0.0000 0.5000 0.0000
Pb 0.5000 0.0000 0.0000
Pb 0.5000 0.5000 0.5000

=====

(4)
A relaxed BeTcNiPb crystal, computed with PBE.

Output
total magnetic moment: 0.0 μB per cell
E_tot: -86.2 eV per cell
symmetry: F-43m

Cell lengths 6.1572, 6.1572, 6.1572 Å; angles 90.00, 90.00, 90.00 degrees
Sites, in units of the cell vectors:
Be 0.0000 0.0000 0.0000
Be 0.0000 0.5000 0.5000
Be 0.5000 0.0000 0.5000
Be 0.5000 0.5000 0.0000
Tc 0.2500 0.2500 0.2500
Tc 0.2500 0.7500 0.7500
Tc 0.7500 0.2500 0.7500
Tc 0.7500 0.7500 0.2500
Ni 0.2500 0.2500 0.7500
Ni 0.2500 0.7500 0.2500
Ni 0.7500 0.2500 0.2500
Ni 0.7500 0.7500 0.7500
Pb 0.0000 0.0000 0.5000
Pb 0.0000 0.5000 0.0000
Pb 0.5000 0.0000 0.0000
Pb 0.5000 0.5000 0.5000

=====

(5)
A relaxed BeTcNiPb crystal, computed with PBE.

Output
total magnetic moment: 0.1 μB per cell
E_tot: -84.4 eV per cell
symmetry: F-43m

Cell lengths 6.1035, 6.1035, 6.1035 Å; angles 90.00, 90.00, 90.00 degrees
Sites, in units of the cell vectors:
Be 0.0000 0.0000 0.0000
Be 0.0000 0.5000 0.5000
Be 0.5000 0.0000 0.5000
Be 0.5000 0.5000 0.0000
Tc 0.2500 0.2500 0.7500
Tc 0.2500 0.7500 0.2500
Tc 0.7500 0.2500 0.2500
Tc 0.7500 0.7500 0.7500
Ni 0.0000 0.0000 0.5000
Ni 0.0000 0.5000 0.0000
Ni 0.5000 0.0000 0.0000
Ni 0.5000 0.5000 0.5000
Pb 0.2500 0.2500 0.2500
Pb 0.2500 0.7500 0.7500
Pb 0.7500 0.2500 0.7500
Pb 0.7500 0.7500 0.2500

=====

(6)
A relaxed BeZnNiPb crystal, computed with PBE.

Output
total magnetic moment: 0.0 μB per cell
E_tot: -49.2 eV per cell
symmetry: F-43m

Cell lengths 6.3074, 6.3074, 6.3074 Å; angles 90.00, 90.00, 90.00 degrees
Sites, in units of the cell vectors:
Be 0.0000 0.0000 0.0000
Be 0.0000 0.5000 0.5000
Be 0.5000 0.0000 0.5000
Be 0.5000 0.5000 0.0000
Zn 0.0000 0.0000 0.5000
Zn 0.0000 0.5000 0.0000
Zn 0.5000 0.0000 0.0000
Zn 0.5000 0.5000 0.5000
Ni 0.2500 0.2500 0.7500
Ni 0.2500 0.7500 0.2500
Ni 0.7500 0.2500 0.2500
Ni 0.7500 0.7500 0.7500
Pb 0.2500 0.2500 0.2500
Pb 0.2500 0.7500 0.7500
Pb 0.7500 0.2500 0.7500
Pb 0.7500 0.7500 0.2500

=====

(7)
A relaxed BeZnNiPb crystal, computed with PBE.

Output
total magnetic moment: 0.0 μB per cell
E_tot: -50.2 eV per cell
symmetry: F-43m

Cell lengths 6.2663, 6.2663, 6.2663 Å; angles 90.00, 90.00, 90.00 degrees
Sites, in units of the cell vectors:
Be 0.0000 0.0000 0.0000
Be 0.0000 0.5000 0.5000
Be 0.5000 0.0000 0.5000
Be 0.5000 0.5000 0.0000
Zn 0.2500 0.2500 0.2500
Zn 0.2500 0.7500 0.7500
Zn 0.7500 0.2500 0.7500
Zn 0.7500 0.7500 0.2500
Ni 0.0000 0.0000 0.5000
Ni 0.0000 0.5000 0.0000
Ni 0.5000 0.0000 0.0000
Ni 0.5000 0.5000 0.5000
Pb 0.2500 0.2500 0.7500
Pb 0.2500 0.7500 0.2500
Pb 0.7500 0.2500 0.2500
Pb 0.7500 0.7500 0.7500

=====

(8)
A relaxed BeZnNiPb crystal, computed with PBE.

Output
total magnetic moment: 0.0 μB per cell
E_tot: -49.2 eV per cell
symmetry: F-43m

Cell lengths 6.3156, 6.3156, 6.3156 Å; angles 90.00, 90.00, 90.00 degrees
Sites, in units of the cell vectors:
Be 0.0000 0.0000 0.0000
Be 0.0000 0.5000 0.5000
Be 0.5000 0.0000 0.5000
Be 0.5000 0.5000 0.0000
Zn 0.2500 0.2500 0.7500
Zn 0.2500 0.7500 0.2500
Zn 0.7500 0.2500 0.2500
Zn 0.7500 0.7500 0.7500
Ni 0.2500 0.2500 0.2500
Ni 0.2500 0.7500 0.7500
Ni 0.7500 0.2500 0.7500
Ni 0.7500 0.7500 0.2500
Pb 0.0000 0.0000 0.5000
Pb 0.0000 0.5000 0.0000
Pb 0.5000 0.0000 0.0000
Pb 0.5000 0.5000 0.5000